Density functional theory data (PBE) for an optimized crystal structure of NpCoSiC.

POSCAR file:
```
NpCoSiC
1.0
-0.673 2.037 -2.975
-1.714 -2.843 -1.560
-7.125 2.480 3.309
Np Co Si C
2 2 2 2
Cartesian
-6.859 0.667 2.008 Np
-1.460 1.410 -0.966 Np
-3.563 1.240 1.655 Co
-4.756 0.837 -0.613 Co
-3.320 -0.564 0.364 Si
-4.999 2.641 0.678 Si
-6.610 3.202 1.426 C
-1.709 -1.125 -0.384 C
```

Properties
* N(E_F): 13.37 states/eV/cell
* SG: No. 129
* formation energy (no corrections): -0.30 eV/atom
* E: -8.97 eV per atom